[1]
Entry from the Open Quantum Materials Database: a relaxed SrLuHf crystal (PBE).

Geometry as POSCAR:
```
SrLuHf
1.0
0.000 3.777 3.777
3.777 0.000 3.777
3.777 3.777 0.000
Sr Lu Hf
1 1 1
direct
0.000 0.000 0.000
0.250 0.250 0.250
0.750 0.750 0.750
```

Properties
The space group is No. 216.

---

[2]
Entry from the Open Quantum Materials Database: a relaxed SrLu2Hf crystal (PBE).

Geometry as POSCAR:
```
SrLu2Hf
1.0
0.000 3.939 3.939
3.939 0.000 3.939
3.939 3.939 0.000
Sr Lu Hf
1 2 1
direct
0.000 0.000 0.000
0.500 0.500 0.500
0.750 0.750 0.750
0.250 0.250 0.250
```

Properties
The space group is No. 216.

---

[3]
Entry from the Open Quantum Materials Database: a relaxed LuHfTa crystal (PBE).

Geometry as POSCAR:
```
LuHfTa
1.0
0.000 3.373 3.373
3.373 0.000 3.373
3.373 3.373 0.000
Lu Hf Ta
1 1 1
direct
0.000 0.000 0.000
0.500 0.500 0.500
0.750 0.750 0.750
```

Properties
The space group is No. 216. The calculation puts the energy of formation from the pure elements at 0.8937 eV/atom. For the excess energy over the best structure of this formula in the dataset, the calculation gives 0.000 eV per atom.

---

[4]
Entry from the Open Quantum Materials Database: a relaxed TbLuHf crystal (PBE).

Geometry as POSCAR:
```
TbLuHf
1.0
0.000 3.643 3.643
3.643 0.000 3.643
3.643 3.643 0.000
Tb Lu Hf
1 1 1
direct
0.000 0.000 0.000
0.500 0.500 0.500
0.750 0.750 0.750
```

Properties
The space group is No. 216. The calculation puts the energy of formation from the pure elements at 0.8577 eV/atom.

---

[5]
Entry from the Open Quantum Materials Database: a relaxed LuHfTc crystal (PBE).

Geometry as POSCAR:
```
LuHfTc
1.0
0.000 3.244 3.244
3.244 0.000 3.244
3.244 3.244 0.000
Lu Hf Tc
1 1 1
direct
0.000 0.000 0.000
0.500 0.500 0.500
0.750 0.750 0.750
```

Properties
The space group is No. 216. The calculation puts the energy of formation from the pure elements at 0.0164 eV/atom.

---

[6]
Entry from the Open Quantum Materials Database: a relaxed LuHfTe crystal (PBE).

Geometry as POSCAR:
```
LuHfTe
1.0
0.000 3.415 3.415
3.415 0.000 3.415
3.415 3.415 0.000
Lu Hf Te
1 1 1
direct
0.000 0.000 0.000
0.500 0.500 0.500
0.750 0.750 0.750
```

Properties
The space group is No. 216. For the excess energy over the best structure of this formula in the dataset, the calculation gives 0.000 eV per atom.

---

[7]
Entry from the Open Quantum Materials Database: a relaxed Lu2HfTe crystal (PBE).

Geometry as POSCAR:
```
Lu2HfTe
1.0
0.000 3.688 3.688
3.688 0.000 3.688
3.688 3.688 0.000
Lu Hf Te
2 1 1
direct
0.000 0.000 0.000
0.250 0.250 0.250
0.750 0.750 0.750
0.500 0.500 0.500
```

Properties
The space group is No. 216.

---

[8]
Entry from the Open Quantum Materials Database: a relaxed LuHfTh crystal (PBE).

Geometry as POSCAR:
```
LuHfTh
1.0
0.000 3.647 3.647
3.647 0.000 3.647
3.647 3.647 0.000
Lu Hf Th
1 1 1
direct
0.000 0.000 0.000
0.250 0.250 0.250
0.500 0.500 0.500
```

Properties
The space group is No. 216. The calculation puts the energy of formation from the pure elements at 0.7744 eV/atom.

---

[9]
Entry from the Open Quantum Materials Database: a relaxed Lu2HfTl crystal (PBE).

Geometry as POSCAR:
```
Lu2HfTl
1.0
0.000 3.663 3.663
3.663 0.000 3.663
3.663 3.663 0.000
Lu Hf Tl
2 1 1
direct
0.000 0.000 0.000
0.250 0.250 0.250
0.750 0.750 0.750
0.500 0.500 0.500
```

Properties
The space group is No. 216.

---

[10]
Entry from the Open Quantum Materials Database: a relaxed LuHf2Tl crystal (PBE).

Geometry as POSCAR:
```
LuHf2Tl
1.0
0.000 3.589 3.589
3.589 0.000 3.589
3.589 3.589 0.000
Lu Hf Tl
1 2 1
direct
0.000 0.000 0.000
0.250 0.250 0.250
0.500 0.500 0.500
0.750 0.750 0.750
```

Properties
The space group is No. 216.

---

[11]
Entry from the Open Quantum Materials Database: a relaxed LuHfU crystal (PBE).

Geometry as POSCAR:
```
LuHfU
1.0
0.000 3.492 3.492
3.492 0.000 3.492
3.492 3.492 0.000
Lu Hf U
1 1 1
direct
0.000 0.000 0.000
0.250 0.250 0.250
0.500 0.500 0.500
```

Properties
The space group is No. 216. The calculation puts the energy of formation from the pure elements at 1.1407 eV/atom. For the excess energy over the best structure of this formula in the dataset, the calculation gives 0.000 eV per atom.

---

[12]
Entry from the Open Quantum Materials Database: a relaxed YLuHf crystal (PBE).

Geometry as POSCAR:
```
YLuHf
1.0
0.000 3.646 3.646
3.646 0.000 3.646
3.646 3.646 0.000
Y Lu Hf
1 1 1
direct
0.000 0.000 0.000
0.500 0.500 0.500
0.750 0.750 0.750
```

Properties
The space group is No. 216. The calculation puts the energy of formation from the pure elements at 0.8743 eV/atom. For the excess energy over the best structure of this formula in the dataset, the calculation gives 0.000 eV per atom.

---

[13]
Entry from the Open Quantum Materials Database: a relaxed LuHf2Zn crystal (PBE).

Geometry as POSCAR:
```
LuHf2Zn
1.0
0.000 3.488 3.488
3.488 0.000 3.488
3.488 3.488 0.000
Lu Hf Zn
1 2 1
direct
0.000 0.000 0.000
0.250 0.250 0.250
0.500 0.500 0.500
0.750 0.750 0.750
```

Properties
The space group is No. 216. The calculation puts the energy of formation from the pure elements at 0.1688 eV/atom.

---

[14]
Entry from the Open Quantum Materials Database: a relaxed LuHfZr crystal (PBE).

Geometry as POSCAR:
```
LuHfZr
1.0
0.000 3.500 3.500
3.500 0.000 3.500
3.500 3.500 0.000
Lu Hf Zr
1 1 1
direct
0.000 0.000 0.000
0.250 0.250 0.250
0.500 0.500 0.500
```

Properties
The space group is No. 216. The calculation puts the energy of formation from the pure elements at 0.9079 eV/atom. For the excess energy over the best structure of this formula in the dataset, the calculation gives 0.000 eV per atom.

---

[15]
Entry from the Open Quantum Materials Database: a relaxed Hf5Mg crystal (PBE).

Geometry as POSCAR:
```
Hf5Mg
1.0
5.922 0.000 0.000
-2.961 5.128 0.000
0.000 0.000 4.882
Hf Mg
5 1
direct
0.000 0.500 0.000
0.333 0.667 0.500
0.500 0.000 0.000
0.500 0.500 0.000
0.667 0.333 0.500
0.000 0.000 0.500
```

Properties
The space group is No. 191. For the excess energy over the best structure of this formula in the dataset, the calculation gives 0.489 eV per atom.

---

[16]
Entry from the Open Quantum Materials Database: a relaxed Hf5Mg crystal (PBE).

Geometry as POSCAR:
```
Hf5Mg
1.0
5.485 0.000 0.000
-2.743 4.750 0.000
0.000 0.000 5.075
Hf Mg
5 1
direct
0.000 0.669 0.000
0.331 0.331 0.000
0.333 0.667 0.500
0.667 0.333 0.500
0.669 0.000 0.000
0.000 0.000 0.500
```

Properties
The space group is No. 189. For the excess energy over the best structure of this formula in the dataset, the calculation gives 0.000 eV per atom.

---

Let's list VASP energy in order: -3.9579, -4.6386, -7.8834, -5.5117, -8.2635, -5.8835, -5.4757, -6.5230, -5.1696, -6.4938, -7.4511, -6.1071, -6.2559, -6.7675, -8.0050, -8.4943 eV per atom.